{
  "formula": "PrY3Er3",
  "functional": "PBE",
  "state": "optimized geometry",
  "lattice": [[-7.0638, -2.7728, 4.4558], [-0.8707, -8.4390, 2.3379], [0.6241, -2.4666, 8.4242]],
  "species": ["Pr", "Pr", "Er", "Er", "Y", "Y", "Er", "Er", "Er", "Y", "Y", "Y", "Er", "Y"],
  "frac_coords": [[0.3503, 0.3503, 0.3503], [0.6497, 0.6497, 0.6497], [0.0645, 0.2843, 0.8276], [0.1724, 0.9355, 0.7157], [0.0636, 0.7277, 0.5693], [0.2723, 0.4307, 0.9364], [0.7157, 0.1724, 0.9355], [0.2843, 0.8276, 0.0645], [0.9355, 0.7157, 0.1724], [0.7277, 0.5693, 0.0636], [0.4307, 0.9364, 0.2723], [0.9364, 0.2723, 0.4307], [0.8276, 0.0645, 0.2843], [0.5693, 0.0636, 0.7277]],
  "delta_e_f_kj_per_mol_atoms": 20.2,
  "e_above_lowest_polymorph_ev_per_atom": 0.000,
  "magmom_total_mub_per_cell": 0.00,
  "space_group": "R-3 (148)",
  "total_energy_ev_per_cell": -72.795
}

{
  "formula": "PrY2Er6",
  "functional": "PBE",
  "state": "optimized geometry",
  "lattice": [[3.4367, -0.5198, -0.2798], [-1.7964, 8.7942, 5.0564], [-2.6558, 0.4815, 9.9422]],
  "species": ["Er", "Pr", "Er", "Y", "Er", "Er", "Er", "Er", "Y"],
  "frac_coords": [[0.1640, 0.0000, 0.6649], [0.0000, 0.0000, 0.0000], [0.1640, 0.6649, 0.0000], [0.6666, 0.3333, 0.3333], [0.5000, 0.3352, 0.6648], [0.8360, 0.3351, 0.0000], [0.5000, 0.6648, 0.3352], [0.8360, 0.0000, 0.3351], [0.3334, 0.6667, 0.6667]],
  "delta_e_f_kj_per_mol_atoms": 7.2,
  "e_above_lowest_polymorph_ev_per_atom": 0.000,
  "magmom_total_mub_per_cell": 0.00,
  "space_group": "Cmmm (65)",
  "total_energy_ev_per_cell": -44.412
}

{
  "formula": "PrY3Er4",
  "functional": "PBE",
  "state": "optimized geometry",
  "lattice": [[-2.0497, -4.9856, -3.2210], [-1.0012, -3.6214, 6.2425], [-10.5506, 3.9503, 0.5995]],
  "species": ["Er", "Y", "Y", "Er", "Er", "Y", "Er", "Y", "Er", "Pr", "Er", "Er", "Y", "Pr", "Y", "Er"],
  "frac_coords": [[0.6498, 0.1218, 0.0000], [0.6448, 0.6280, 0.0000], [0.4822, 0.3722, 0.7499], [0.1498, 0.8782, 0.5000], [0.9811, 0.1221, 0.2515], [0.9822, 0.6278, 0.2499], [0.6490, 0.1217, 0.5000], [0.4822, 0.3722, 0.2501], [0.9811, 0.1221, 0.7485], [0.6452, 0.6282, 0.5000], [0.1490, 0.8783, 0.0000], [0.4811, 0.8779, 0.2485], [0.9822, 0.6278, 0.7501], [0.1452, 0.3718, 0.0000], [0.1448, 0.3720, 0.5000], [0.4811, 0.8779, 0.7515]],
  "delta_e_f_kj_per_mol_atoms": 0.7,
  "e_above_lowest_polymorph_ev_per_atom": 0.000,
  "magmom_total_mub_per_cell": 0.00,
  "space_group": "Pmn2_1 (31)",
  "total_energy_ev_per_cell": -84.736
}

{
  "formula": "Pr3YEr2",
  "functional": "PBE",
  "state": "optimized geometry",
  "lattice": [[-3.4348, -5.4482, -0.3459], [7.0172, -4.9102, 7.6581], [-5.2034, 7.0555, 0.6736]],
  "species": ["Er", "Pr", "Pr", "Pr", "Pr", "Y", "Pr", "Er", "Pr", "Er", "Y", "Er"],
  "frac_coords": [[0.7841, 0.5948, 0.1896], [0.0000, 0.0000, 0.5000], [0.0000, 0.7132, 0.0000], [0.0000, 0.2868, 0.0000], [0.0000, 0.5000, 0.5000], [0.5456, 0.2500, 0.5000], [0.5000, 0.2132, 0.0000], [0.2159, 0.4052, 0.8104], [0.5000, 0.7868, 0.0000], [0.9055, 0.0948, 0.1896], [0.4544, 0.7500, 0.5000], [0.0945, 0.9052, 0.8104]],
  "delta_e_f_kj_per_mol_atoms": 28.8,
  "e_above_lowest_polymorph_ev_per_atom": 0.189,
  "magmom_total_mub_per_cell": 0.00,
  "space_group": "Imma (74)",
  "total_energy_ev_per_cell": -56.275
}

{
  "formula": "Pr2Y5Er12",
  "functional": "PBE",
  "state": "optimized geometry",
  "lattice": [[9.1625, 0.0000, 0.0000], [-4.5812, 11.3611, -1.6829], [0.0000, -5.2250, 6.6938]],
  "species": ["Er", "Er", "Er", "Er", "Pr", "Y", "Y", "Y", "Er", "Y", "Y", "Er", "Er", "Er", "Pr", "Er", "Er", "Er", "Er"],
  "frac_coords": [[0.5554, 0.1108, 0.7820], [0.0243, 0.6861, 0.9333], [0.6618, 0.6861, 0.9333], [0.0948, 0.1895, 0.3051], [0.3121, 0.0000, 0.0000], [0.0000, 0.0000, 0.5000], [0.2341, 0.4682, 0.8906], [0.6975, 0.3950, 0.3889], [0.4343, 0.2526, 0.6018], [0.3025, 0.6050, 0.6111], [0.7659, 0.5318, 0.1094], [0.9052, 0.8105, 0.6949], [0.1817, 0.7474, 0.3982], [0.5657, 0.7474, 0.3982], [0.6879, 0.0000, 0.0000], [0.3382, 0.3139, 0.0667], [0.8183, 0.2526, 0.6018], [0.4446, 0.8892, 0.2180], [0.9757, 0.3139, 0.0667]],
  "delta_e_f_kj_per_mol_atoms": 12.6,
  "e_above_lowest_polymorph_ev_per_atom": 0.105,
  "magmom_total_mub_per_cell": 0.00,
  "space_group": "C2/m (12)",
  "total_energy_ev_per_cell": -94.158
}

{
  "formula": "Pr2Y3Er7",
  "functional": "PBE",
  "state": "optimized geometry",
  "lattice": [[3.5165, 0.0000, 0.0000], [0.0000, 6.2879, 0.7603], [0.0000, 2.3539, 17.7433]],
  "species": ["Er", "Er", "Er", "Er", "Er", "Y", "Pr", "Y", "Pr", "Y", "Er", "Er"],
  "frac_coords": [[0.0000, 0.5630, 0.1627], [0.5000, 0.9382, 0.8348], [0.5000, 0.0618, 0.1652], [0.5000, 0.7571, 0.4991], [0.5000, 0.2429, 0.5009], [0.5000, 0.5000, 0.0000], [0.5000, 0.3847, 0.6739], [0.0000, 0.8902, 0.6576], [0.5000, 0.6153, 0.3261], [0.0000, 0.1098, 0.3424], [0.0000, 0.4370, 0.8373], [0.0000, 0.0000, 0.0000]],
  "delta_e_f_kj_per_mol_atoms": 8.0,
  "e_above_lowest_polymorph_ev_per_atom": 0.000,
  "magmom_total_mub_per_cell": 0.00,
  "space_group": "P2/m (10)",
  "total_energy_ev_per_cell": -59.896
}

{
  "formula": "PrY6Er2",
  "functional": "PBE",
  "state": "optimized geometry",
  "lattice": [[5.6437, -0.9375, 0.1799], [-1.4549, 9.8973, 6.3959], [-2.9754, 1.6980, 11.3686]],
  "species": ["Pr", "Y", "Pr", "Er", "Y", "Er", "Y", "Y", "Y", "Y", "Er", "Y", "Er", "Y", "Y", "Y", "Y", "Y"],
  "frac_coords": [[0.7500, 0.7502, 0.2498], [0.0830, 0.0828, 0.5827], [0.2500, 0.2498, 0.7502], [0.9686, 0.3325, 0.1676], [0.9170, 0.9172, 0.4173], [0.0314, 0.6675, 0.8324], [0.1901, 0.4972, 0.3325], [0.5830, 0.5827, 0.0828], [0.6901, 0.3325, 0.4972], [0.6403, 0.9972, 0.8324], [0.5314, 0.8324, 0.6675], [0.4170, 0.4173, 0.9172], [0.4686, 0.1676, 0.3325], [0.3597, 0.0028, 0.1676], [0.3099, 0.6675, 0.5028], [0.1403, 0.8324, 0.9972], [0.8099, 0.5028, 0.6675], [0.8597, 0.1676, 0.0028]],
  "delta_e_f_kj_per_mol_atoms": 6.7,
  "e_above_lowest_polymorph_ev_per_atom": 0.046,
  "magmom_total_mub_per_cell": 0.00,
  "space_group": "Ibam (72)",
  "total_energy_ev_per_cell": -104.123
}

{
  "formula": "Pr3Y5Er2",
  "functional": "PBE",
  "state": "optimized geometry",
  "lattice": [[1.2306, -1.4483, -9.1943], [8.9503, 1.6128, -2.2656], [-3.3114, -7.8928, 7.1984]],
  "species": ["Y", "Y", "Y", "Er", "Pr", "Y", "Y", "Er", "Pr", "Y", "Y", "Y", "Pr", "Er", "Pr", "Y", "Pr", "Pr", "Y", "Er"],
  "frac_coords": [[0.4714, 0.7214, 0.4428], [0.6262, 0.8789, 0.2695], [0.5286, 0.2786, 0.5572], [0.5308, 0.2768, 0.2622], [0.7300, 0.4746, 0.2499], [0.9735, 0.2235, 0.4470], [0.0265, 0.7765, 0.5530], [0.2315, 0.9854, 0.2622], [0.2700, 0.5254, 0.7501], [0.8567, 0.6094, 0.7305], [0.3738, 0.1211, 0.7305], [0.2738, 0.5238, 0.0477], [0.2316, 0.9816, 0.9631], [0.7685, 0.0146, 0.7378], [0.9801, 0.2246, 0.7501], [0.1433, 0.3906, 0.2695], [0.0199, 0.7754, 0.2499], [0.7684, 0.0184, 0.0369], [0.7262, 0.4762, 0.9523], [0.4692, 0.7232, 0.7378]],
  "delta_e_f_kj_per_mol_atoms": 17.6,
  "magmom_total_mub_per_cell": 0.00,
  "space_group": "C2/c (15)",
  "total_energy_ev_per_cell": -107.912
}

{
  "formula": "Pr6YEr3",
  "functional": "PBE",
  "state": "optimized geometry",
  "lattice": [[-1.6945, -5.6854, -2.5799], [2.8025, -5.1592, 9.5287], [-10.3370, 3.8965, -1.7973]],
  "species": ["Pr", "Er", "Pr", "Pr", "Er", "Pr", "Pr", "Er", "Y", "Er", "Er", "Pr", "Pr", "Pr", "Pr", "Er", "Pr", "Pr", "Pr", "Y"],
  "frac_coords": [[0.3809, 0.9708, 0.0292], [0.9845, 0.0508, 0.2813], [0.8439, 0.4948, 0.0667], [0.8439, 0.9333, 0.5052], [0.9845, 0.7187, 0.9492], [0.3439, 0.5052, 0.9333], [0.5503, 0.2795, 0.3705], [0.5865, 0.6107, 0.3893], [0.0917, 0.1853, 0.8147], [0.4845, 0.9492, 0.7187], [0.0865, 0.3893, 0.6107], [0.0503, 0.3705, 0.2795], [0.0503, 0.7205, 0.6295], [0.3439, 0.0667, 0.4948], [0.1690, 0.7169, 0.2831], [0.4845, 0.2813, 0.0508], [0.8809, 0.0292, 0.9708], [0.5503, 0.6295, 0.7205], [0.6690, 0.2831, 0.7169], [0.5917, 0.8147, 0.1853]],
  "delta_e_f_kj_per_mol_atoms": 13.6,
  "magmom_total_mub_per_cell": 0.00,
  "space_group": "Cmc2_1 (36)",
  "total_energy_ev_per_cell": -94.837
}

{
  "formula": "Pr5YEr",
  "functional": "PBE",
  "state": "optimized geometry",
  "lattice": [[-5.8426, 1.2713, -6.7168], [-6.0924, -5.0055, -4.3237], [-13.4591, 0.2013, -0.8771]],
  "species": ["Pr", "Pr", "Er", "Pr", "Pr", "Pr", "Pr", "Pr", "Er", "Y", "Y", "Pr", "Pr", "Pr"],
  "frac_coords": [[0.2535, 0.2510, 0.4062], [0.3311, 0.3344, 0.0897], [0.0000, 0.0000, 0.5000], [0.2388, 0.7612, 0.2500], [0.7490, 0.7465, 0.0938], [0.7612, 0.2388, 0.7500], [0.2510, 0.2535, 0.9062], [0.7465, 0.7490, 0.5938], [0.0000, 0.0000, 0.0000], [0.2370, 0.7630, 0.7500], [0.7630, 0.2370, 0.2500], [0.3344, 0.3311, 0.5897], [0.6656, 0.6689, 0.4103], [0.6689, 0.6656, 0.9103]],
  "delta_e_f_kj_per_mol_atoms": 14.2,
  "e_above_lowest_polymorph_ev_per_atom": 0.000,
  "magmom_total_mub_per_cell": 0.00,
  "space_group": "C2/c (15)",
  "total_energy_ev_per_cell": -67.786
}

{
  "formula": "PrY2Er2",
  "functional": "PBE",
  "state": "optimized geometry",
  "lattice": [[-1.5405, -5.3102, -1.7107], [4.1926, -2.9180, -4.5082], [1.5995, -6.1436, 7.8393]],
  "species": ["Y", "Y", "Y", "Er", "Pr", "Er", "Pr", "Y", "Er", "Er"],
  "frac_coords": [[0.9300, 0.2153, 0.9247], [0.3141, 0.7441, 0.6278], [0.0700, 0.7847, 0.0753], [0.5250, 0.7090, 0.2410], [0.7032, 0.7469, 0.8467], [0.1090, 0.2368, 0.5452], [0.2968, 0.2531, 0.1533], [0.6859, 0.2559, 0.3722], [0.4750, 0.2910, 0.7590], [0.8910, 0.7632, 0.4548]],
  "delta_e_f_kj_per_mol_atoms": 11.3,
  "e_above_lowest_polymorph_ev_per_atom": 0.035,
  "magmom_total_mub_per_cell": 0.00,
  "space_group": "C2/m (12)",
  "total_energy_ev_per_cell": -52.494
}

{
  "formula": "PrY8Er4",
  "functional": "PBE",
  "state": "optimized geometry",
  "lattice": [[6.4261, -0.0005, -3.4668], [-4.1481, 6.0089, -0.0005], [1.1969, 0.8270, 9.9073]],
  "species": ["Er", "Y", "Er", "Y", "Er", "Y", "Y", "Y", "Y", "Y", "Y", "Er", "Pr"],
  "frac_coords": [[0.5000, 0.0000, 0.0000], [0.5002, 0.7501, 0.6979], [0.5000, 0.5000, 0.0000], [0.9478, 0.7501, 0.6979], [0.0000, 0.5000, 0.0000], [0.4360, 0.2180, 0.6540], [0.0522, 0.2499, 0.3021], [0.9478, 0.1977, 0.6979], [0.5640, 0.7820, 0.3460], [0.4998, 0.2499, 0.3021], [0.0522, 0.8023, 0.3021], [0.0000, 0.0000, 0.0000], [0.0000, 0.5000, 0.5000]],
  "delta_e_f_kj_per_mol_atoms": 19.7,
  "magmom_total_mub_per_cell": 0.00,
  "space_group": "R-3m (166)",
  "total_energy_ev_per_cell": -72.086
}